Entry 1:
Density functional theory data (PBE-GGA) for a geometry-optimized CdHgOs2 structure.

```
CdHgOs2
1.0
2.884 0.000 0.000
0.000 2.884 0.000
-0.012 0.000 8.491
Cd Hg Os
1 1 2
direct
0.000 0.000 0.000
0.500 0.500 0.300
0.000 0.000 0.560
0.501 0.500 0.748
```

ΔH_f (0 K)   341 meV/atom
Offset from the most stable computed form   0.00 eV per formula unit

=====

Entry 2:
Density functional theory data (PBE-GGA) for a geometry-optimized CdHgOs structure.

```
CdHgOs
1.0
2.948 0.000 0.000
-1.474 2.553 0.000
0.000 0.000 7.413
Cd Hg Os
1 1 1
direct
0.000 0.000 0.000
0.667 0.333 0.364
0.333 0.667 0.688
```

ΔH_f (0 K)   692 meV/atom
Offset from the most stable computed form   0.00 eV per formula unit

=====

Entry 3:
Density functional theory data (PBE-GGA) for a geometry-optimized CdHgOs2 structure.

```
CdHgOs2
1.0
6.499 0.000 0.000
0.000 6.499 0.000
0.000 0.000 6.499
Cd Hg Os
4 4 8
direct
0.000 0.000 0.000
0.000 0.500 0.500
0.500 0.000 0.500
0.500 0.500 0.000
0.250 0.250 0.250
0.250 0.750 0.750
0.750 0.250 0.750
0.750 0.750 0.250
0.000 0.000 0.500
0.000 0.500 0.000
0.250 0.250 0.750
0.250 0.750 0.250
0.500 0.000 0.000
0.500 0.500 0.500
0.750 0.250 0.250
0.750 0.750 0.750
```

ΔH_f (0 K)   966 meV/atom
Offset from the most stable computed form   2.50 eV per formula unit

=====

Entry 4:
Density functional theory data (PBE-GGA) for a geometry-optimized CdHgOs2 structure.

```
CdHgOs2
1.0
4.270 0.000 0.000
0.000 4.270 0.000
0.000 0.000 7.479
Cd Hg Os
2 2 4
direct
0.000 0.000 0.000
0.500 0.500 0.500
0.000 0.500 0.750
0.500 0.000 0.250
0.000 0.000 0.500
0.000 0.500 0.250
0.500 0.000 0.750
0.500 0.500 0.000
```

ΔH_f (0 K)   926 meV/atom
Offset from the most stable computed form   2.34 eV per formula unit

=====

Entry 5:
Density functional theory data (PBE-GGA) for a geometry-optimized CdReHgOs2 structure.

```
CdReHgOs2
1.0
4.947 0.000 0.000
0.000 4.947 0.000
0.000 0.000 4.969
Cd Re Hg Os
1 1 1 2
direct
0.000 0.000 0.000
0.500 0.500 0.000
0.500 0.500 0.500
0.000 0.500 0.500
0.500 0.000 0.500
```

ΔH_f (0 K)   3039 meV/atom

=====

Entry 6:
Density functional theory data (PBE-GGA) for a geometry-optimized CdHg2OsSe structure.

```
CdHg2OsSe
1.0
5.232 0.000 0.000
0.000 5.232 0.000
0.000 0.000 5.318
Cd Hg Os Se
1 2 1 1
direct
0.000 0.000 0.000
0.000 0.500 0.500
0.500 0.000 0.500
0.000 0.000 0.500
0.500 0.500 0.000
```

ΔE_f (raw)   949 meV per atom

=====

In the order shown, the computed V values come out to 71 56 275 136 122 146 Å³/cell.